! LaVZn3 (PBE, relaxed); values from VASP
&SYSTEM
  ibrav = 0, nat = 5, ntyp = 3
/
ATOMIC_SPECIES
La 138.91 La.upf
V 50.94 V.upf
Zn 65.41 Zn.upf
CELL_PARAMETERS angstrom
5.5214 0.0000 0.0000
0.0000 5.5214 0.0000
0.0000 0.0000 5.5214
ATOMIC_POSITIONS crystal
La 0.0000 0.0000 0.0000
V 0.5000 0.5000 0.5000
Zn 0.0000 0.0000 0.5000
Zn 0.0000 0.5000 0.0000
Zn 0.5000 0.0000 0.0000
! Offset from the most stable computed form (kJ/mol of formula units): 588
! Formation enthalpy at 0 K (eV/atom): 1.390

=====

! Si2PtPb (PBE, relaxed); values from VASP
&SYSTEM
  ibrav = 0, nat = 4, ntyp = 3
/
ATOMIC_SPECIES
Si 28.09 Si.upf
Pt 195.08 Pt.upf
Pb 207.20 Pb.upf
CELL_PARAMETERS angstrom
3.8803 0.0000 0.0000
0.0000 3.8681 0.0000
-0.0387 0.0000 5.3852
ATOMIC_POSITIONS crystal
Si 0.0000 0.0000 0.0000
Si 0.5000 0.5000 0.0000
Pt 0.0000 0.0000 0.5000
Pb 0.5000 0.5000 0.5000
! Formation energy without anion corrections (eV/atom): 0.304

=====

! Th2MgZn4Ga3 (PBE, relaxed); values from VASP
&SYSTEM
  ibrav = 0, nat = 10, ntyp = 4
/
ATOMIC_SPECIES
Th 232.04 Th.upf
Mg 24.30 Mg.upf
Zn 65.41 Zn.upf
Ga 69.72 Ga.upf
CELL_PARAMETERS angstrom
4.2314 0.0000 0.0000
0.0000 4.2314 0.0000
0.0000 0.0000 10.9947
ATOMIC_POSITIONS crystal
Th 0.0000 0.5000 0.2411
Th 0.5000 0.0000 0.7589
Mg 0.0000 0.0000 0.5000
Zn 0.0000 0.0000 0.0000
Zn 0.0000 0.5000 0.6428
Zn 0.5000 0.0000 0.3572
Zn 0.5000 0.5000 0.0000
Ga 0.0000 0.5000 0.8663
Ga 0.5000 0.0000 0.1337
Ga 0.5000 0.5000 0.5000
! Formation enthalpy at 0 K (eV/atom): -0.374

=====

! Zn11Sn (PBE, relaxed); values from VASP
&SYSTEM
  ibrav = 0, nat = 24, ntyp = 2
/
ATOMIC_SPECIES
Zn 65.41 Zn.upf
Sn 118.71 Sn.upf
CELL_PARAMETERS angstrom
-5.3866 5.3866 3.4231
5.3866 -5.3866 3.4231
5.3866 5.3866 -3.4231
ATOMIC_POSITIONS crystal
Zn 0.0000 0.0000 0.0000
Zn 0.0000 0.0000 0.5000
Zn 0.0000 0.5000 0.0000
Zn 0.1250 0.8750 0.2500
Zn 0.1331 0.5570 0.3331
Zn 0.1331 0.8000 0.5761
Zn 0.2000 0.2761 0.3331
Zn 0.2000 0.8669 0.9239
Zn 0.2761 0.2000 0.8331
Zn 0.2761 0.4430 0.0761
Zn 0.4430 0.2761 0.5761
Zn 0.4430 0.8669 0.1669
Zn 0.5000 0.0000 0.5000
Zn 0.5570 0.1331 0.8331
Zn 0.5570 0.7239 0.4239
Zn 0.7239 0.5570 0.9239
Zn 0.7239 0.8000 0.1669
Zn 0.8000 0.1331 0.0761
Zn 0.8000 0.7239 0.6669
Zn 0.8669 0.2000 0.4239
Zn 0.8669 0.4430 0.6669
Zn 0.8750 0.1250 0.7500
Sn 0.3750 0.6250 0.7500
Sn 0.6250 0.3750 0.2500
! Formation enthalpy at 0 K (eV/atom): 0.051

=====

no.,final energy (eV per atom),M_tot (μB/cell)
1,-2.184,3.31
2,-4.845,0.00
3,-3.435,0.00
4,-1.451,0.00